(1)
First-principles (PBE) data for a relaxed Mn2GaCuH crystal, as listed in Alexandria via LeMat-Bulk.

Output
Polymorph energy (0 for the lowest one): 144.2 meV per atom
DOS at the Fermi energy: 2.337 states/eV/f.u.

Unit cell a=3.6901 b=3.6901 c=3.9883 alpha=90.00 beta=90.00 gamma=90.00
Fractional positions:
H 0.0000 0.0000 0.0000
Mn 0.0000 0.5000 0.0000
Mn 0.5000 0.0000 0.0000
Cu 0.5000 0.5000 0.5000
Ga 0.0000 0.0000 0.5000


(2)
First-principles (PBE) data for a relaxed Mn2GaCuH crystal, as listed in Alexandria via LeMat-Bulk.

Output
Polymorph energy (0 for the lowest one): 0.0 meV per atom
DOS at the Fermi energy: 2.211 states/eV/f.u.

Unit cell a=3.7699 b=3.7699 c=3.7473 alpha=90.00 beta=90.00 gamma=90.00
Fractional positions:
H 0.0000 0.0000 0.0000
Mn 0.0000 0.5000 0.0000
Mn 0.5000 0.0000 0.0000
Cu 0.0000 0.0000 0.5000
Ga 0.5000 0.5000 0.5000


(3)
First-principles (PBE) data for a relaxed MnGaCu2H crystal, as listed in Alexandria via LeMat-Bulk.

Output
Total energy: -4.74 eV per atom
DOS at the Fermi energy: 2.171 states/eV/f.u.

Unit cell a=3.7343 b=3.7343 c=3.7942 alpha=90.00 beta=90.00 gamma=90.00
Fractional positions:
H 0.0000 0.0000 0.0000
Mn 0.0000 0.0000 0.5000
Cu 0.0000 0.5000 0.0000
Cu 0.5000 0.0000 0.0000
Ga 0.5000 0.5000 0.5000


(4)
First-principles (PBE) data for a relaxed GaCuMo2H crystal, as listed in Alexandria via LeMat-Bulk.

Output
Total energy: -6.28 eV per atom
DOS at the Fermi energy: 3.309 states/eV/f.u.

Unit cell a=3.8660 b=3.8660 c=4.1300 alpha=90.00 beta=90.00 gamma=90.00
Fractional positions:
H 0.0000 0.0000 0.0000
Mo 0.0000 0.5000 0.0000
Mo 0.5000 0.0000 0.0000
Cu 0.0000 0.0000 0.5000
Ga 0.5000 0.5000 0.5000


(5)
First-principles (PBE) data for a relaxed GaCu2HN crystal, as listed in Alexandria via LeMat-Bulk.

Output
Total energy: -3.98 eV per atom
DOS at the Fermi energy: 2.266 states/eV/f.u.

Unit cell a=3.6326 b=5.3112 c=3.6326 alpha=90.00 beta=90.00 gamma=90.00
Fractional positions:
H 0.0000 0.5000 0.0000
Cu 0.0000 0.0000 0.5000
Cu 0.5000 0.0000 0.0000
Ga 0.5000 0.5000 0.5000
N 0.0000 0.0000 0.0000


(6)
First-principles (PBE) data for a relaxed Na2GaCuH6 crystal, as listed in Alexandria via LeMat-Bulk.

Output
Total energy: -3.01 eV per atom
DOS at the Fermi energy: 0.372 states/eV/f.u.

Unit cell a=5.1334 b=5.1333 c=5.1440 alpha=60.12 beta=60.12 gamma=90.16
Fractional positions:
Na 0.7499 0.2501 0.5000
Na 0.2501 0.7499 0.5000
Ga 0.5000 0.5000 0.0000
Cu 0.0000 0.0000 0.0000
H 0.2461 0.2461 0.5086
H 0.7554 0.7552 0.0005
H 0.2451 0.7550 0.0000
H 0.7549 0.2450 0.0000
H 0.2446 0.2448 0.9995
H 0.7539 0.7539 0.4914


(7)
First-principles (PBE) data for a relaxed NbGaCu2H crystal, as listed in Alexandria via LeMat-Bulk.

Output
Total energy: -5.04 eV per atom
DOS at the Fermi energy: 0.615 states/eV/f.u.

Unit cell a=3.8575 b=3.8575 c=4.0436 alpha=90.00 beta=90.00 gamma=90.00
Fractional positions:
H 0.0000 0.0000 0.0000
Nb 0.0000 0.0000 0.5000
Cu 0.0000 0.5000 0.0000
Cu 0.5000 0.0000 0.0000
Ga 0.5000 0.5000 0.5000


(8)
First-principles (PBE) data for a relaxed Nb2GaCuH crystal, as listed in Alexandria via LeMat-Bulk.

Output
Total energy: -6.28 eV per atom
DOS at the Fermi energy: 1.560 states/eV/f.u.

Unit cell a=3.9942 b=3.9942 c=4.1583 alpha=90.00 beta=90.00 gamma=90.00
Fractional positions:
H 0.0000 0.0000 0.0000
Nb 0.0000 0.5000 0.0000
Nb 0.5000 0.0000 0.0000
Cu 0.0000 0.0000 0.5000
Ga 0.5000 0.5000 0.5000


(9)
First-principles (PBE) data for a relaxed GaCuNi2H crystal, as listed in Alexandria via LeMat-Bulk.

Output
Polymorph energy (0 for the lowest one): 143.8 meV per atom
DOS at the Fermi energy: 1.531 states/eV/f.u.

Unit cell a=3.6043 b=3.6043 c=3.8566 alpha=90.00 beta=90.00 gamma=90.00
Fractional positions:
Ni 0.0000 0.5000 0.0000
Ni 0.5000 0.0000 0.0000
Cu 0.5000 0.5000 0.5000
Ga 0.0000 0.0000 0.5000
H 0.0000 0.0000 0.0000


(10)
First-principles (PBE) data for a relaxed GaCuNi2H crystal, as listed in Alexandria via LeMat-Bulk.

Output
Polymorph energy (0 for the lowest one): 0.0 meV per atom
DOS at the Fermi energy: 1.292 states/eV/f.u.

Unit cell a=3.6679 b=3.6679 c=3.6736 alpha=90.00 beta=90.00 gamma=90.00
Fractional positions:
Ni 0.0000 0.5000 0.0000
Ni 0.5000 0.0000 0.0000
Cu 0.0000 0.0000 0.5000
Ga 0.5000 0.5000 0.5000
H 0.0000 0.0000 0.0000


(11)
First-principles (PBE) data for a relaxed GaCu2NiH crystal, as listed in Alexandria via LeMat-Bulk.

Output
Total energy: -4.15 eV per atom
DOS at the Fermi energy: 1.217 states/eV/f.u.

Unit cell a=3.7356 b=3.7356 c=3.6836 alpha=90.00 beta=90.00 gamma=90.00
Fractional positions:
Ni 0.0000 0.0000 0.5000
Cu 0.0000 0.5000 0.0000
Cu 0.5000 0.0000 0.0000
Ga 0.5000 0.5000 0.5000
H 0.0000 0.0000 0.0000


(12)
First-principles (PBE) data for a relaxed GaCuHPd2 crystal, as listed in Alexandria via LeMat-Bulk.

Output
Total energy: -4.48 eV per atom
DOS at the Fermi energy: 1.573 states/eV/f.u.

Unit cell a=4.0112 b=4.0112 c=3.7316 alpha=90.00 beta=90.00 gamma=90.00
Fractional positions:
H 0.0000 0.0000 0.0000
Cu 0.0000 0.0000 0.5000
Ga 0.5000 0.5000 0.5000
Pd 0.0000 0.5000 0.0000
Pd 0.5000 0.0000 0.0000